This record from the Alexandria database describes an optimized crystal structure of NaSrIn2Pd. The functional is PBE.

Cell and atoms, written as POSCAR:
```
NaSrIn2Pd
1.0
5.2970 0.0000 0.0000
0.0000 5.2970 0.0000
0.0000 0.0000 5.6653
Na Sr In Pd
1 1 2 1
Cartesian
0.0000 0.0000 0.0000 Na
2.6485 2.6485 0.0000 Sr
0.0000 2.6485 2.8327 In
2.6485 0.0000 2.8327 In
2.6485 2.6485 2.8327 Pd
```

Summary:
calculated formation energy: -0.27 eV per atom
offset from the most stable computed form: 0.004 eV per atom
M_tot: 0.0 μB/f.u.
total DFT energy (no corrections): -3.007 eV/atom
Fermi-level density of states: 0.683 states/eV per atom

---

This record from the Alexandria database describes an optimized crystal structure of Na2SrInPd. The functional is PBE.

Cell and atoms, written as POSCAR:
```
Na2SrInPd
1.0
5.4481 0.0000 0.0000
0.0000 5.4481 0.0000
0.0000 0.0000 5.2580
Na Sr In Pd
2 1 1 1
Cartesian
0.0000 2.7241 0.0000 Na
2.7241 0.0000 0.0000 Na
0.0000 0.0000 2.6290 Sr
2.7241 2.7241 2.6290 In
2.7241 2.7241 0.0000 Pd
```

Summary:
calculated formation energy: -0.14 eV per atom
M_tot: 0.0 μB/f.u.
total DFT energy (no corrections): -2.588 eV/atom
Fermi-level density of states: 0.498 states/eV per atom